# 1
DyAsN2O | PBE | optimized geometry

a = 5.2169 Å, b = 5.4041 Å, c = 5.6304 Å
α = 94.31°, β = 112.03°, γ = 118.24°
With the nearest neighbours (Å) after each atom.
Atoms (fractional coordinates):
Dy1 0.0000 0.0000 0.0000  2 O 2.19-2.30, 2 N 2.32-2.39
Dy2 0.4571 0.7279 0.2366  2 O 2.17-2.22, 2 N 2.22-2.34
As1 0.0812 0.5933 0.6112  4 N 1.85-1.88
As2 0.4181 0.2127 0.6617  2 O 1.86-1.88, 4 N 1.95-2.04
N1 0.1883 0.3892 0.4278  2 As 1.85-2.04
N2 0.4848 0.9315 0.8536  2 As 1.86-2.02
N3 0.8867 0.5179 0.8410  2 As 1.88-1.95
N4 0.9716 0.8428 0.4564  2 As 1.85-2.00
O1 0.3603 0.3687 0.9285  1 As 1.86
O2 0.4817 0.1313 0.3662  1 As 1.88

Properties
Volume   12.33 Å³ per atom
Space-group type   No. 1
Total DFT energy (no corrections)   -7.044 eV/atom

=====

# 2
DyAsN2O | PBE | optimized geometry

a = 6.3488 Å, b = 6.3488 Å, c = 11.2619 Å
α = 90.00°, β = 90.00°, γ = 120.00°
With the nearest neighbours (Å) after each atom.
Atoms (fractional coordinates):
Dy1 0.0000 0.0000 0.0000  6 N 2.36-2.41, 1 O 2.37
Dy2 0.0000 0.0000 0.5000  6 N 2.36-2.41, 1 O 2.37
Dy3 0.3333 0.6667 0.4689  6 N 2.37-2.40, 1 O 2.47
Dy4 0.3333 0.6667 0.9689  6 N 2.37-2.40, 1 O 2.47
Dy5 0.6667 0.3333 0.4689  6 N 2.37-2.40, 1 O 2.47
Dy6 0.6667 0.3333 0.9689  6 N 2.37-2.40, 1 O 2.47
As1 0.0000 0.3338 0.2319  2 N 1.74-1.75
As2 0.0000 0.6662 0.7319  2 N 1.74-1.75
As3 0.3338 0.0000 0.2319  2 N 1.74-1.75
As4 0.3338 0.3338 0.7319  2 N 1.74-1.75
As5 0.6662 0.0000 0.7319  2 N 1.74-1.75
As6 0.6662 0.6662 0.2319  2 N 1.74-1.75
N1 0.0000 0.3136 0.3867  1 As 1.75
N2 0.0000 0.3534 0.0780  1 As 1.74
N3 0.0000 0.6466 0.5780  1 As 1.74
N4 0.0000 0.6864 0.8867  1 As 1.75
N5 0.3136 0.0000 0.3867  1 As 1.75
N6 0.3136 0.3136 0.8867  1 As 1.75
N7 0.3534 0.0000 0.0780  1 As 1.74
N8 0.3534 0.3534 0.5780  1 As 1.74
N9 0.6466 0.0000 0.5780  1 As 1.74
N10 0.6466 0.6466 0.0780  1 As 1.74
N11 0.6864 0.0000 0.8867  1 As 1.75
N12 0.6864 0.6864 0.3867  1 As 1.75
O1 0.0000 0.0000 0.2109  3 As 2.13, 1 Dy 2.37
O2 0.0000 0.0000 0.7109  3 As 2.13, 1 Dy 2.37
O3 0.3333 0.6667 0.2491  3 As 2.12
O4 0.3333 0.6667 0.7491  3 As 2.12
O5 0.6667 0.3333 0.2491  3 As 2.12
O6 0.6667 0.3333 0.7491  3 As 2.12

Properties
Volume   13.10 Å³ per atom
Space-group type   No. 185
Total DFT energy (no corrections)   -6.952 eV/atom

=====

# 3
DyAsN2O | PBE | optimized geometry

a = 3.7764 Å, b = 3.7764 Å, c = 3.8034 Å
α = 90.00°, β = 90.00°, γ = 90.00°
With the nearest neighbours (Å) after each atom.
Atoms (fractional coordinates):
Dy1 0.0000 0.0000 0.0000  4 O 2.67, 8 N 2.68
As1 0.5000 0.5000 0.5000  4 N 1.89, 2 O 1.90
N1 0.0000 0.5000 0.5000  2 As 1.89
N2 0.5000 0.0000 0.5000  2 As 1.89
O1 0.5000 0.5000 0.0000  2 As 1.90

Properties
Volume   10.85 Å³ per atom
Space-group type   No. 123
Total DFT energy (no corrections)   -6.817 eV/atom

=====

# 4
DyAsN2O | PBE | optimized geometry

a = 5.3716 Å, b = 7.8424 Å, c = 5.2591 Å
α = 90.00°, β = 90.00°, γ = 90.00°
With the nearest neighbours (Å) after each atom.
Atoms (fractional coordinates):
Dy1 0.0603 0.2500 0.0181  2 O 2.27-2.35, 4 N 2.34-2.52
Dy2 0.4397 0.7500 0.5181  2 O 2.27-2.35, 4 N 2.34-2.52
Dy3 0.5603 0.2500 0.4819  2 O 2.27-2.35, 4 N 2.34-2.52
Dy4 0.9397 0.7500 0.9819  2 O 2.27-2.35, 4 N 2.34-2.52
As1 0.0000 0.0000 0.5000  4 N 1.94-1.95, 2 O 2.02
As2 0.0000 0.5000 0.5000  4 N 1.94-1.95, 2 O 2.02
As3 0.5000 0.0000 0.0000  4 N 1.94-1.95, 2 O 2.02
As4 0.5000 0.5000 0.0000  4 N 1.94-1.95, 2 O 2.02
N1 0.2017 0.5461 0.7992  2 As 1.94-1.95
N2 0.2017 0.9539 0.7992  2 As 1.94-1.95
N3 0.2983 0.0461 0.2992  2 As 1.94-1.95
N4 0.2983 0.4539 0.2992  2 As 1.94-1.95
N5 0.7017 0.5461 0.7008  2 As 1.94-1.95
N6 0.7017 0.9539 0.7008  2 As 1.94-1.95
N7 0.7983 0.0461 0.2008  2 As 1.94-1.95
N8 0.7983 0.4539 0.2008  2 As 1.94-1.95
O1 0.0165 0.7500 0.4072  2 As 2.02
O2 0.4835 0.2500 0.9072  2 As 2.02
O3 0.5165 0.7500 0.0928  2 As 2.02
O4 0.9835 0.2500 0.5928  2 As 2.02

Properties
Volume   11.08 Å³ per atom
Space-group type   No. 62
Total DFT energy (no corrections)   -7.014 eV/atom

=====

# 5
DyAsN2O | PBE | optimized geometry

a = 5.4602 Å, b = 5.4672 Å, c = 9.2145 Å
α = 103.55°, β = 90.35°, γ = 119.82°
With the nearest neighbours (Å) after each atom.
Atoms (fractional coordinates):
Dy1 0.0000 0.0000 0.0000  3 O 2.23-2.45, 4 N 2.37-2.47
Dy2 0.0960 0.3281 0.6920  4 N 2.28-2.51, 2 O 2.29-2.54
Dy3 0.4433 0.8807 0.4193  2 O 2.34-2.49, 5 N 2.37-2.53
Dy4 0.7162 0.4362 0.1983  1 O 2.31, 4 N 2.33-2.41
As1 0.0784 0.1416 0.3425  4 N 1.86-1.99, 1 O 1.91
As2 0.3802 0.7175 0.0680  3 O 1.81-1.89, 1 N 1.95
As3 0.4595 0.0315 0.7809  4 N 1.80-1.85
As4 0.7464 0.6248 0.5876  5 N 1.84-2.01
N1 0.0717 0.8871 0.7452  2 As 1.85-1.94
N2 0.1474 0.8569 0.1977  2 As 1.99-2.04
N3 0.4625 0.0386 0.9806  2 As 1.83-1.95
N4 0.4792 0.3287 0.4142  2 As 1.93
N5 0.5043 0.7367 0.6764  2 As 1.80-1.84
N6 0.6423 0.2719 0.6611  2 As 1.82-2.01
N7 0.7404 0.0305 0.2151  2 As 1.92-2.04
N8 0.8918 0.9157 0.4723  2 As 1.86-1.96
O1 0.0421 0.4620 0.4528  1 As 1.91
O2 0.0476 0.4221 0.9424  1 As 1.85
O3 0.3076 0.4639 0.1918  1 As 1.89
O4 0.5867 0.5780 0.9646  1 As 1.81

Properties
Volume   11.48 Å³ per atom
Space-group type   No. 1
Total DFT energy (no corrections)   -7.028 eV/atom

=====

# 6
DyAsN2O | PBE | optimized geometry

a = 7.8502 Å, b = 7.3410 Å, c = 11.0403 Å
α = 90.00°, β = 134.54°, γ = 90.00°
With the nearest neighbours (Å) after each atom.
Atoms (fractional coordinates):
Dy1 0.0550 0.2500 0.0235  3 O 2.33-2.61, 4 N 2.33-2.54
Dy2 0.0550 0.2500 0.5235  3 O 2.33-2.61, 4 N 2.33-2.54
Dy3 0.4428 0.7300 0.4647  3 O 2.29-2.50, 3 N 2.33-2.36
Dy4 0.4428 0.7700 0.9647  3 O 2.29-2.50, 3 N 2.33-2.36
Dy5 0.5572 0.2300 0.0353  3 O 2.29-2.50, 3 N 2.33-2.36
Dy6 0.5572 0.2700 0.5353  3 O 2.29-2.50, 3 N 2.33-2.36
Dy7 0.9450 0.7500 0.4765  3 O 2.33-2.61, 4 N 2.33-2.54
Dy8 0.9450 0.7500 0.9765  3 O 2.33-2.61, 4 N 2.33-2.54
As1 0.0372 0.0014 0.2558  4 N 1.87-1.95, 1 O 1.94
As2 0.0372 0.4986 0.7558  4 N 1.87-1.95, 1 O 1.94
As3 0.4806 0.5045 0.2165  4 N 1.86-1.98, 1 O 1.91
As4 0.4806 0.9955 0.7165  4 N 1.86-1.98, 1 O 1.91
As5 0.5194 0.0045 0.2835  4 N 1.86-1.98, 1 O 1.91
As6 0.5194 0.4955 0.7835  4 N 1.86-1.98, 1 O 1.91
As7 0.9628 0.5014 0.2442  4 N 1.87-1.95, 1 O 1.94
As8 0.9628 0.9986 0.7442  4 N 1.87-1.95, 1 O 1.94
N1 0.0424 0.7460 0.8194  2 As 1.94-1.95
N2 0.0424 0.7540 0.3194  2 As 1.94-1.95
N3 0.2115 0.5498 0.7022  2 As 1.87-1.94
N4 0.2115 0.9502 0.2022  2 As 1.87-1.94
N5 0.2895 0.0596 0.4901  2 As 1.86-1.90
N6 0.2895 0.4404 0.9901  2 As 1.86-1.90
N7 0.4590 0.2417 0.7788  2 As 1.91-1.98
N8 0.4590 0.2583 0.2788  2 As 1.91-1.98
N9 0.5410 0.7417 0.7212  2 As 1.91-1.98
N10 0.5410 0.7583 0.2212  2 As 1.91-1.98
N11 0.7105 0.5596 0.0099  2 As 1.86-1.90
N12 0.7105 0.9404 0.5099  2 As 1.86-1.90
N13 0.7885 0.0498 0.7978  2 As 1.87-1.94
N14 0.7885 0.4502 0.2978  2 As 1.87-1.94
N15 0.9576 0.2460 0.6806  2 As 1.94-1.95
N16 0.9576 0.2540 0.1806  2 As 1.94-1.95
O1 0.2249 0.5505 0.1987  1 As 1.91
O2 0.2249 0.9495 0.6987  1 As 1.91
O3 0.2708 0.0427 0.9734  1 As 1.94
O4 0.2708 0.4573 0.4734  1 As 1.94
O5 0.7292 0.5427 0.5266  1 As 1.94
O6 0.7292 0.9573 0.0266  1 As 1.94
O7 0.7751 0.0505 0.3013  1 As 1.91
O8 0.7751 0.4495 0.8013  1 As 1.91

Properties
Volume   11.34 Å³ per atom
Space-group type   No. 14
Total DFT energy (no corrections)   -7.045 eV/atom

=====

# 7
DyAsN2O | PBE | optimized geometry

a = 3.3893 Å, b = 6.1183 Å, c = 5.7227 Å
α = 90.00°, β = 90.00°, γ = 90.00°
With the nearest neighbours (Å) after each atom.
Atoms (fractional coordinates):
Dy1 0.0000 0.1514 0.0000  4 N 2.31-2.41, 2 O 2.38
Dy2 0.0000 0.8486 0.5000  4 N 2.31-2.41, 2 O 2.38
As1 0.5000 0.3360 0.5384  3 N 1.78-1.88
As2 0.5000 0.6640 0.0384  3 N 1.78-1.88
N1 0.0000 0.2145 0.5988  2 As 1.88
N2 0.0000 0.7855 0.0988  2 As 1.88
N3 0.5000 0.4111 0.8849  1 As 1.78
N4 0.5000 0.5889 0.3849  1 As 1.78
O1 0.5000 0.1051 0.2879  1 As 2.01
O2 0.5000 0.8949 0.7879  1 As 2.01

Properties
Volume   11.87 Å³ per atom
Space-group type   No. 26
Total DFT energy (no corrections)   -7.096 eV/atom

=====

# 8
DyAsN2O | PBE | optimized geometry

a = 5.4258 Å, b = 5.4258 Å, c = 5.4258 Å
α = 87.89°, β = 120.76°, γ = 121.70°
With the nearest neighbours (Å) after each atom.
Atoms (fractional coordinates):
Dy1 0.0182 0.2500 0.2682  1 O 2.28, 4 N 2.37
Dy2 0.9818 0.7500 0.7318  1 O 2.28, 4 N 2.37
As1 0.5025 0.0025 0.5000  4 N 1.93, 2 O 2.02
As2 0.5025 0.5025 0.0000  4 N 1.93, 2 O 2.02
N1 0.0032 0.1972 0.6973  2 As 1.93
N2 0.0032 0.8059 0.3060  2 As 1.93
N3 0.4999 0.3059 0.3027  2 As 1.93
N4 0.4999 0.6972 0.6940  2 As 1.93
O1 0.4157 0.7584 0.1573  2 As 2.02
O2 0.6011 0.2584 0.8427  2 As 2.02

Properties
Volume   11.08 Å³ per atom
Space-group type   No. 46
Total DFT energy (no corrections)   -6.945 eV/atom

=====

# 9
DyAsN2O | PBE | optimized geometry

a = 6.9512 Å, b = 8.1836 Å, c = 8.2624 Å
α = 82.79°, β = 89.75°, γ = 88.69°
With the nearest neighbours (Å) after each atom.
Atoms (fractional coordinates):
Dy1 0.0000 0.0000 0.0000  3 O 2.27-2.50, 1 N 2.50
Dy2 0.0031 0.5783 0.0779  4 O 2.23-2.43, 2 N 2.30-2.49
Dy3 0.4713 0.0899 0.5593  3 N 2.30-2.45, 4 O 2.30-2.51
Dy4 0.4785 0.5008 0.4782  5 N 2.32-2.44, 1 O 2.35
Dy5 0.4939 0.9431 0.9925  3 O 2.24-2.40, 3 N 2.31-2.45
Dy6 0.5054 0.5525 0.0838  5 N 2.27-2.48, 1 O 2.51
Dy7 0.9622 0.0147 0.5586  3 O 2.30-2.40, 3 N 2.48-2.56
Dy8 0.9744 0.4387 0.4891  4 O 2.19-2.37, 1 N 2.30
As1 0.2335 0.2359 0.2265  4 N 1.77-1.98, 1 O 1.98
As2 0.2389 0.7153 0.7126  4 N 1.81-1.85
As3 0.2430 0.8154 0.2985  4 N 1.85-1.97, 1 O 1.98
As4 0.2514 0.3144 0.8167  3 N 1.80-2.00, 1 O 1.87
As5 0.7217 0.1991 0.2547  4 N 1.83-1.94, 1 O 1.97
As6 0.7306 0.7194 0.7507  3 N 1.81-1.99, 1 O 1.88
As7 0.7356 0.3123 0.8482  4 N 1.83-1.84
As8 0.7427 0.7856 0.3232  4 N 1.86-2.01, 1 O 1.96
N1 0.0100 0.7931 0.7915  1 As 1.85
N2 0.2068 0.5050 0.6660  2 As 1.83-1.89
N3 0.2621 0.3799 0.0166  2 As 1.80-1.98
N4 0.2812 0.0328 0.1806  2 As 1.77-1.94
N5 0.2827 0.8528 0.5273  2 As 1.81-1.97
N6 0.4600 0.7146 0.8311  2 As 1.83-1.99
N7 0.4795 0.3098 0.2937  2 As 1.93-1.94
N8 0.4932 0.7351 0.2688  2 As 1.86-1.87
N9 0.5169 0.3156 0.7232  2 As 1.84-2.00
N10 0.6755 0.9974 0.3690  2 As 1.83-1.87
N11 0.6792 0.1685 0.0292  2 As 1.83-1.94
N12 0.7464 0.6581 0.5482  2 As 1.81-2.01
N13 0.7670 0.5207 0.9007  2 As 1.83-1.93
N14 0.9642 0.2376 0.7686  1 As 1.84
N15 0.9669 0.2779 0.1759  2 As 1.92
N16 0.9860 0.8780 0.3070  2 As 1.85-1.87
O1 0.1817 0.2098 0.4638  1 As 1.98
O2 0.1961 0.5631 0.3248  1 As 2.08, 1 Dy 2.23
O3 0.2235 0.7731 0.0686  1 As 1.98
O4 0.2752 0.0865 0.8161  1 As 1.87
O5 0.6954 0.9489 0.7317  1 As 1.88
O6 0.7576 0.2508 0.4785  1 As 1.97, 1 Dy 2.19
O7 0.7725 0.8065 0.0555  1 As 2.21, 3 Dy 2.24-2.42
O8 0.7828 0.5578 0.2772  1 As 1.96

Properties
Volume   11.65 Å³ per atom
Space-group type   No. 1
Total DFT energy (no corrections)   -7.132 eV/atom

=====

# 10
NaDyAsO4 | PBE | optimized geometry

a = 8.6851 Å, b = 8.6851 Å, c = 8.6851 Å
α = 37.95°, β = 37.95°, γ = 37.95°
With the nearest neighbours (Å) after each atom.
Atoms (fractional coordinates):
Na1 0.2134 0.2134 0.2134  1 O 2.12
Na2 0.7866 0.7866 0.7866  1 O 2.12
Dy1 0.3494 0.3494 0.3494  6 O 2.20-2.31
Dy2 0.6506 0.6506 0.6506  6 O 2.20-2.31
As1 0.0562 0.0562 0.0562  1 O 1.68
As2 0.9438 0.9438 0.9438  1 O 1.68
O1 0.0075 0.4009 0.7360  1 As 1.90
O2 0.1258 0.1258 0.1258  1 As 1.68
O3 0.2640 0.9925 0.5991  1 As 1.90
O4 0.4009 0.7360 0.0075  1 As 1.90
O5 0.5991 0.2640 0.9925  1 As 1.90
O6 0.7360 0.0075 0.4009  1 As 1.90
O7 0.8742 0.8742 0.8742  1 As 1.68
O8 0.9925 0.5991 0.2640  1 As 1.90

Properties
Volume   15.88 Å³ per atom
Space-group type   No. 148
Total DFT energy (no corrections)   -6.386 eV/atom

=====

# 11
NaDyTe3As | PBE | optimized geometry

a = 7.9825 Å, b = 7.9825 Å, c = 10.8752 Å
α = 90.00°, β = 90.00°, γ = 148.55°
With the nearest neighbours (Å) after each atom.
Atoms (fractional coordinates):
Na1 0.2286 0.7714 0.7500  6 Te 3.27-3.36
Na2 0.7714 0.2286 0.2500  6 Te 3.27-3.36
Dy1 0.0000 0.0000 0.0000  6 Te 3.11-3.22
Dy2 0.0000 0.0000 0.5000  6 Te 3.11-3.22
Te1 0.1120 0.8880 0.2500  2 As 3.14, 2 Dy 3.22, 2 Na 3.27
Te2 0.3581 0.6419 0.0475  1 As 2.74
Te3 0.3581 0.6419 0.4525  1 As 2.74
Te4 0.6419 0.3581 0.5475  1 As 2.74
Te5 0.6419 0.3581 0.9525  1 As 2.74
Te6 0.8880 0.1120 0.7500  2 As 3.14, 2 Dy 3.22, 2 Na 3.27
As1 0.4643 0.5357 0.2500  2 Te 2.74
As2 0.5357 0.4643 0.7500  2 Te 2.74

Properties
Volume   30.13 Å³ per atom
Space-group type   No. 63
Total DFT energy (no corrections)   -3.976 eV/atom

=====

# 12
DyNbAsO | PBE | optimized geometry

a = 3.9635 Å, b = 3.9635 Å, c = 9.0111 Å
α = 90.00°, β = 90.00°, γ = 90.00°
With the nearest neighbours (Å) after each atom.
Atoms (fractional coordinates):
Dy1 0.2500 0.2500 0.1207  4 O 2.26
Dy2 0.7500 0.7500 0.8793  4 O 2.26
Nb1 0.2500 0.7500 0.5000  4 As 2.68, 4 Nb 2.80
Nb2 0.7500 0.2500 0.5000  4 As 2.68, 4 Nb 2.80
As1 0.2500 0.2500 0.7003  4 Nb 2.68
As2 0.7500 0.7500 0.2997  4 Nb 2.68
O1 0.2500 0.7500 0.0000  4 Dy 2.26
O2 0.7500 0.2500 0.0000  4 Dy 2.26

Properties
Volume   17.69 Å³ per atom
Space-group type   No. 129
Total DFT energy (no corrections)   -7.986 eV/atom